# TlMoO4F | the Alexandria database | GGA+U | optimized geometry
# spin magnetization = 0.000 Bohr magnetons per cell
# N(E_F) = 0.00 states/eV/atom
# calculated density = 4.81 Mg/m³
# VASP energy = -5.836 eV per atom
data_TlMoO4F
_cell_length_a 9.3448
_cell_length_b 7.3495
_cell_length_c 8.6593
_cell_angle_alpha 90.00
_cell_angle_beta 117.11
_cell_angle_gamma 90.00
_symmetry_space_group_name_H-M 'C 1 2/m 1'
_symmetry_Int_Tables_number 12
_symmetry_space_group_name_Hall '-C 2y'
loop_
_atom_site_label
_atom_site_type_symbol
_atom_site_fract_x
_atom_site_fract_y
_atom_site_fract_z
Tl1 Tl 0.1785 0.0000 0.1971
Mo1 Mo 0.1421 0.5000 0.3009
O1 O 0.0565 0.5000 0.7190
O2 O 0.1722 0.3021 0.1976
O3 O 0.2156 0.0000 0.4730
F1 F 0.0914 0.0000 0.9118